Record 1
Compound: MgAgPt2
Source: Alexandria via LeMat-Bulk
Functional: PBE
Structure: relaxed

Geometry as POSCAR:
```
MgAgPt2
1.0
3.3818 0.0000 0.0000
0.0000 3.3818 0.0000
0.0000 0.0000 5.8217
Mg Ag Pt
1 1 2
Direct
0.0000 0.0000 0.0000
0.5000 0.5000 0.7363
0.0000 0.0000 0.4846
0.5000 0.5000 0.2324
```

Calculated values
Raw total energy: -4.39 eV/atom
Calculated formation energy: -0.25 eV per atom
Crystal system: tetragonal
Size of the total moment: 0.000 μB per cell



Record 2
Compound: Li2Ta2Ga
Source: Alexandria via LeMat-Bulk
Functional: PBE
Structure: relaxed

Geometry as POSCAR:
```
Li2Ta2Ga
1.0
5.7690 0.0000 0.0000
0.0000 5.7690 0.0000
0.0000 0.0000 4.4552
Li Ta Ga
4 4 2
Direct
0.1179 0.3821 0.0000
0.3821 0.8821 0.0000
0.6179 0.1179 0.0000
0.8821 0.6179 0.0000
0.1996 0.6996 0.5000
0.3004 0.1996 0.5000
0.6996 0.8004 0.5000
0.8004 0.3004 0.5000
0.0000 0.0000 0.0000
0.5000 0.5000 0.0000
```

Calculated values
Raw total energy: -5.80 eV/atom
Calculated formation energy: 0.31 eV per atom
Crystal system: tetragonal
Size of the total moment: 0.000 μB per cell



> What is the raw total energy in the first record?

-4.39 eV/atom



> Among the records above, which one has the lowest calculated formation energy?

MgAgPt2



> Which value of calculated formation energy does entry 2 give?

0.31 eV per atom



> Which formula does entry 2 have?

Li2Ta2Ga